[1]
The following is a DFT calculation (GGA-PBE) of a relaxed KLiUBr5 crystal.

Values from the calculation:
The value obtained for the total energy is -137.16 eV/cell.

Cell lengths 9.387, 12.871, 10.737 Å; angles 90.00, 113.16, 90.00 degrees
Space group C2/c (No. 15)
Symmetry-distinct sites (fractional):
K (0.000, 0.143, 0.250) x4
Li (0.000, 0.190, 0.750) x4
U (0.000, 0.500, 0.000) x4
Br (0.000, 0.408, 0.250) x4
Br (0.123, 0.300, 0.622) x8
Br (0.182, 0.066, 0.932) x8

---

[2]
The following is a DFT calculation (GGA-PBE) of a relaxed KLiU2Br8 crystal.

Values from the calculation:
The value obtained for the total energy is -54.98 eV/cell.

Cell lengths 7.3292, 7.3292, 8.6612 Å; angles 90.00, 90.00, 120.00 degrees
Space group P-3 (No. 147)
Symmetry-distinct sites (fractional):
K (0.0000, 0.0000, 0.0000) x1
Li (0.0000, 0.0000, 0.5000) x1
U (0.3333, 0.6667, 0.4107) x2
Br (0.0699, 0.3489, 0.6612) x6
Br (0.3333, 0.6667, 0.0874) x2

---

[3]
The following is a DFT calculation (GGA-PBE) of a relaxed KLiUBr6 crystal.

Values from the calculation:
The value obtained for the total energy is -75.23 eV/cell.

Cell lengths 7.1962, 7.1962, 14.7487 Å; angles 90.00, 90.00, 120.00 degrees
Space group P-31c (No. 163)
Symmetry-distinct sites (fractional):
K (0.0000, 0.0000, 0.0000) x2
Li (0.3333, 0.6667, 0.2500) x2
U (0.3333, 0.6667, 0.7500) x2
Br (0.0007, 0.3670, 0.6409) x12

---

[4]
The following is a DFT calculation (GGA-PBE) of a relaxed K2LiUBr6 crystal.

Values from the calculation:
The value obtained for the total energy is -241.24 eV/cell.

Cell lengths 7.7890, 7.7890, 40.9776 Å; angles 90.00, 90.00, 120.00 degrees
Space group R-3m (No. 166, hexagonal axes)
Symmetry-distinct sites (fractional):
K (0.0000, 0.0000, 0.1402) x6
K (0.0000, 0.0000, 0.3058) x6
Li (0.0000, 0.0000, 0.0000) x3
Li (0.0000, 0.0000, 0.5000) x3
U (0.0000, 0.0000, 0.4151) x6
Br (0.0014, 0.5007, 0.1268) x18
Br (0.0057, 0.5028, 0.7056) x18

---

[5]
The following is a DFT calculation (GGA-PBE) of a relaxed K2LiWBr crystal.

Values from the calculation:
The value obtained for the total energy is -14.42 eV/cell.

Cell lengths 6.327, 6.327, 5.066 Å; angles 90.00, 90.00, 90.00 degrees
Space group P4/mmm (No. 123)
Symmetry-distinct sites (fractional):
K (0.000, 0.500, 0.000) x2
Li (0.000, 0.000, 0.000) x1
W (0.000, 0.000, 0.500) x1
Br (0.500, 0.500, 0.500) x1

---

[6]
The following is a DFT calculation (GGA-PBE) of a relaxed KLi2WBr crystal.

Values from the calculation:
The value obtained for the total energy is -15.99 eV/cell.

Cell lengths 5.315, 5.315, 4.849 Å; angles 90.00, 90.00, 90.00 degrees
Space group P4/mmm (No. 123)
Symmetry-distinct sites (fractional):
K (0.000, 0.000, 0.000) x1
Li (0.000, 0.500, 0.500) x2
W (0.500, 0.500, 0.500) x1
Br (0.500, 0.500, 0.000) x1

---

[7]
The following is a DFT calculation (GGA-PBE) of a relaxed KLiWBr6 crystal.

Values from the calculation:
The value obtained for the total energy is -68.93 eV/cell.

Cell lengths 6.9393, 6.9393, 14.5038 Å; angles 90.00, 90.00, 120.00 degrees
Space group P-31c (No. 163)
Symmetry-distinct sites (fractional):
K (0.0000, 0.0000, 0.0000) x2
Li (0.3333, 0.6667, 0.2500) x2
W (0.3333, 0.6667, 0.7500) x2
Br (0.0208, 0.3786, 0.6482) x12

---

[8]
The following is a DFT calculation (GGA-PBE) of a relaxed K2LiYBr6 crystal.

Values from the calculation:
The value obtained for the total energy is -152.10 eV/cell.

Cell lengths 11.015, 11.015, 11.015 Å; angles 90.00, 90.00, 90.00 degrees
Space group Fm-3m (No. 225)
Symmetry-distinct sites (fractional):
K (0.250, 0.250, 0.250) x8
Li (0.000, 0.000, 0.000) x4
Y (0.000, 0.000, 0.500) x4
Br (0.000, 0.000, 0.247) x24

---

[9]
The following is a DFT calculation (GGA-PBE) of a relaxed KLiYBr5 crystal.

Values from the calculation:
The value obtained for the total energy is -127.76 eV/cell.

Cell lengths 9.260, 12.700, 10.568 Å; angles 90.00, 113.35, 90.00 degrees
Space group C2/c (No. 15)
Symmetry-distinct sites (fractional):
K (0.000, 0.149, 0.250) x4
Li (0.000, 0.192, 0.750) x4
Y (0.000, 0.500, 0.000) x4
Br (0.000, 0.417, 0.250) x4
Br (0.114, 0.302, 0.612) x8
Br (0.188, 0.065, 0.931) x8

---

[10]
The following is a DFT calculation (GGA-PBE) of a relaxed KLi3Zn4Br12 crystal.

Values from the calculation:
The value obtained for the total energy is -161.54 eV/cell.

Cell lengths 14.5408, 14.5408, 10.5026 Å; angles 90.00, 90.00, 120.00 degrees
Space group R32 (No. 155, hexagonal axes)
Symmetry-distinct sites (fractional):
K (0.0000, 0.0000, 0.0000) x3
Li (0.0000, 0.5546, 0.0000) x9
Zn (0.0000, 0.0000, 0.5000) x3
Zn (0.0000, 0.4374, 0.5000) x9
Br (0.0000, 0.5994, 0.5000) x9
Br (0.0000, 0.8383, 0.5000) x9
Br (0.0547, 0.2233, 0.1745) x18

---

[11]
The following is a DFT calculation (GGA-PBE) of a relaxed KLiZrBr6 crystal.

Values from the calculation:
The value obtained for the total energy is -70.40 eV/cell.

Cell lengths 7.0628, 7.0628, 14.5072 Å; angles 90.00, 90.00, 120.00 degrees
Space group P-31c (No. 163)
Symmetry-distinct sites (fractional):
K (0.0000, 0.0000, 0.0000) x2
Li (0.3333, 0.6667, 0.2500) x2
Zr (0.3333, 0.6667, 0.7500) x2
Br (0.0118, 0.3774, 0.6439) x12

---

[12]
The following is a DFT calculation (GGA-PBE) of a relaxed K2LiZrBr6 crystal.

Values from the calculation:
The value obtained for the total energy is -225.28 eV/cell.

Cell lengths 7.6363, 7.6363, 38.3401 Å; angles 90.00, 90.00, 120.00 degrees
Space group R-3m (No. 166, hexagonal axes)
Symmetry-distinct sites (fractional):
K (0.0000, 0.0000, 0.1266) x6
K (0.0000, 0.0000, 0.2996) x6
Li (0.0000, 0.0000, 0.4166) x6
Zr (0.0000, 0.0000, 0.0000) x3
Zr (0.0000, 0.0000, 0.5000) x3
Br (0.0004, 0.5002, 0.1256) x18
Br (0.0002, 0.5001, 0.2924) x18

---

[13]
The following is a DFT calculation (GGA-PBE) of a relaxed K2Mg3Br8 crystal.

Values from the calculation:
The value obtained for the total energy is -81.21 eV/cell.

Cell lengths 15.942, 8.057, 6.958 Å; angles 90.00, 107.54, 90.00 degrees
Space group C2/m (No. 12)
Symmetry-distinct sites (fractional):
K (0.236, 0.000, 0.167) x4
Mg (0.000, 0.240, 0.500) x4
Mg (0.000, 0.500, 0.000) x2
Br (0.097, 0.268, 0.889) x8
Br (0.098, 0.500, 0.399) x4
Br (0.106, 0.000, 0.449) x4

---

[14]
The following is a DFT calculation (GGA-PBE) of a relaxed KMgBr4 crystal.

Values from the calculation:
The value obtained for the total energy is -42.59 eV/cell.

Cell lengths 9.348, 9.348, 9.348 Å; angles 90.00, 90.00, 90.00 degrees
Space group F-43m (No. 216)
Symmetry-distinct sites (fractional):
K (0.000, 0.000, 0.000) x4
Mg (0.250, 0.250, 0.750) x4
Br (0.125, 0.125, 0.375) x16

---

[15]
The following is a DFT calculation (GGA-PBE) of a relaxed KMg2Br crystal.

Values from the calculation:
The value obtained for the total energy is -7.88 eV/cell.

Cell lengths 3.746, 3.800, 9.079 Å; angles 90.00, 101.85, 90.00 degrees
Space group Pm (No. 6)
Symmetry-distinct sites (fractional):
K (0.000, 0.000, 0.000) x1
Mg (0.267, 0.000, 0.532) x1
Mg (0.673, 0.500, 0.339) x1
Br (0.391, 0.500, 0.781) x1

---

[16]
The following is a DFT calculation (GGA-PBE) of a relaxed KMg2Br crystal.

Values from the calculation:
The value obtained for the total energy is -15.44 eV/cell.

Cell lengths 6.309, 13.875, 3.899 Å; angles 90.00, 127.71, 90.00 degrees
Space group C2/m (No. 12)
Symmetry-distinct sites (fractional):
K (0.000, 0.000, 0.000) x2
Mg (0.250, 0.250, 0.500) x4
Br (0.000, 0.500, 0.000) x2

---

[17]
The following is a DFT calculation (GGA-PBE) of a relaxed KMg2Br crystal.

Values from the calculation:
The value obtained for the total energy is -28.78 eV/cell.

Cell lengths 9.543, 9.543, 6.238 Å; angles 90.00, 90.00, 90.00 degrees
Space group I-42d (No. 122)
Symmetry-distinct sites (fractional):
K (0.000, 0.000, 0.000) x4
Mg (0.206, 0.750, 0.625) x8
Br (0.000, 0.000, 0.500) x4

---

[18]
The following is a DFT calculation (GGA-PBE) of a relaxed KMg2Br crystal.

Values from the calculation:
The value obtained for the total energy is -7.71 eV/cell.

Cell lengths 3.706, 3.706, 9.053 Å; angles 90.00, 90.00, 90.00 degrees
Space group P4mm (No. 99)
Symmetry-distinct sites (fractional):
K (0.000, 0.000, 0.000) x1
Mg (0.000, 0.000, 0.536) x1
Mg (0.500, 0.500, 0.339) x1
Br (0.500, 0.500, 0.783) x1

---

[19]
The following is a DFT calculation (GGA-PBE) of a relaxed KMg2Br crystal.

Values from the calculation:
The value obtained for the total energy is -15.20 eV/cell.

Cell lengths 11.143, 3.668, 7.329 Å; angles 90.00, 115.74, 90.00 degrees
Space group Cm (No. 8)
Symmetry-distinct sites (fractional):
K (0.000, 0.000, 0.000) x2
Mg (0.103, 0.500, 0.502) x2
Mg (0.341, 0.500, 0.389) x2
Br (0.229, 0.000, 0.840) x2

---

[20]
The following is a DFT calculation (GGA-PBE) of a relaxed K2MgBr crystal.

Values from the calculation:
The value obtained for the total energy is -24.17 eV/cell.

Cell lengths 4.3151, 4.3151, 31.9765 Å; angles 90.00, 90.00, 120.00 degrees
Space group R-3m (No. 166, hexagonal axes)
Symmetry-distinct sites (fractional):
K (0.0000, 0.0000, 0.2332) x6
Mg (0.0000, 0.0000, 0.0000) x3
Br (0.0000, 0.0000, 0.5000) x3

---

[21]
The following is a DFT calculation (GGA-PBE) of a relaxed K3MgBr5 crystal.

Values from the calculation:
The value obtained for the total energy is -111.78 eV/cell.

Cell lengths 9.024, 9.024, 15.419 Å; angles 90.00, 90.00, 90.00 degrees
Space group I4/mcm (No. 140)
Symmetry-distinct sites (fractional):
K (0.000, 0.000, 0.250) x4
K (0.162, 0.338, 0.000) x8
Mg (0.000, 0.500, 0.250) x4
Br (0.000, 0.000, 0.000) x4
Br (0.152, 0.348, 0.351) x16

---

| no. | M_tot (μB/f.u.) |
| --- | --- |
| 1 | 3.00 |
| 2 | 6.00 |
| 3 | 2.00 |
| 4 | 3.00 |
| 5 | 5.26 |
| 6 | 0.69 |
| 7 | 2.00 |
| 8 | 0.00 |
| 9 | 0.00 |
| 10 | 0.00 |
| 11 | 0.00 |
| 12 | 1.00 |
| 13 | 0.00 |
| 14 | 2.81 |
| 15 | 0.00 |
| 16 | 0.00 |
| 17 | 0.00 |
| 18 | 0.00 |
| 19 | 0.00 |
| 20 | 0.00 |
| 21 | 0.12 |